GGA-PBE NpIBr3, relaxed; calculated density = 4.57 g cm⁻³; energy relative to the elements, uncorrected = -1.082 eV per atom; total magnetization = 6.0 Bohr magnetons per cell
1.0
-3.128 -6.265 0.523
5.306 -1.688 4.807
-4.832 2.944 6.367
Br Np I
6 2 2
direct
0.750 0.291 0.250 Br
0.707 0.845 0.000 Br
0.707 0.845 0.500 Br
0.250 0.709 0.750 Br
0.293 0.155 0.500 Br
0.293 0.155 0.000 Br
0.501 0.001 0.250 Np
0.499 0.999 0.750 Np
0.769 0.315 0.750 I
0.231 0.685 0.250 I

GGA-PBE PuUTc, relaxed; formation energy from the elements = 146 kJ/mol of formula units; calculated density = 16.04 g cm⁻³; total magnetization = 7.0 Bohr magnetons per cell
1.0
-0.572 2.133 -3.850
-1.895 -3.625 -1.727
-5.457 1.952 1.892
Tc Pu U
2 2 2
direct
0.000 0.000 0.000 Tc
0.500 0.500 0.000 Tc
0.500 0.000 0.746 Pu
0.000 0.500 0.254 Pu
0.500 0.500 0.500 U
0.000 0.000 0.500 U

GGA-PBE Li4TiS4, relaxed; calculated density = 2.02 g cm⁻³; energy relative to the elements, uncorrected = -1.257 eV per atom; total magnetization = 0.0 Bohr magnetons per cell
1.0
11.021 0.000 0.000
0.000 11.021 0.000
0.000 0.000 11.021
S Li Ti
32 32 8
direct
0.118 0.882 0.118 S
0.618 0.618 0.382 S
0.384 0.136 0.124 S
0.384 0.864 0.876 S
0.382 0.618 0.618 S
0.116 0.624 0.364 S
0.124 0.384 0.136 S
0.636 0.884 0.624 S
0.884 0.376 0.364 S
0.136 0.876 0.616 S
0.616 0.864 0.124 S
0.376 0.636 0.116 S
0.616 0.136 0.876 S
0.124 0.616 0.864 S
0.382 0.382 0.382 S
0.876 0.616 0.136 S
0.882 0.882 0.882 S
0.876 0.384 0.864 S
0.364 0.884 0.376 S
0.624 0.636 0.884 S
0.136 0.124 0.384 S
0.618 0.382 0.618 S
0.376 0.364 0.884 S
0.118 0.118 0.882 S
0.864 0.876 0.384 S
0.882 0.118 0.118 S
0.364 0.116 0.624 S
0.624 0.364 0.116 S
0.636 0.116 0.376 S
0.864 0.124 0.616 S
0.116 0.376 0.636 S
0.884 0.624 0.636 S
0.840 0.350 0.583 Li
0.583 0.840 0.350 Li
0.340 0.660 0.340 Li
0.340 0.340 0.660 Li
0.660 0.340 0.340 Li
0.417 0.840 0.650 Li
0.840 0.840 0.160 Li
0.160 0.350 0.417 Li
0.850 0.340 0.083 Li
0.340 0.917 0.150 Li
0.340 0.083 0.850 Li
0.150 0.660 0.083 Li
0.650 0.583 0.160 Li
0.660 0.917 0.850 Li
0.350 0.583 0.840 Li
0.660 0.660 0.660 Li
0.083 0.850 0.340 Li
0.583 0.160 0.650 Li
0.840 0.650 0.417 Li
0.660 0.083 0.150 Li
0.160 0.650 0.583 Li
0.917 0.850 0.660 Li
0.150 0.340 0.917 Li
0.917 0.150 0.340 Li
0.417 0.160 0.350 Li
0.160 0.160 0.160 Li
0.850 0.660 0.917 Li
0.160 0.840 0.840 Li
0.650 0.417 0.840 Li
0.350 0.417 0.160 Li
0.840 0.160 0.840 Li
0.083 0.150 0.660 Li
0.000 0.500 0.250 Ti
0.500 0.250 0.000 Ti
0.500 0.500 0.500 Ti
0.500 0.750 0.000 Ti
0.750 0.000 0.500 Ti
0.000 0.500 0.750 Ti
0.250 0.000 0.500 Ti
0.000 0.000 0.000 Ti

GGA-PBE Sm3ScAs4, relaxed; formation energy from the elements = -1127 kJ/mol of formula units; calculated density = 6.59 g cm⁻³; total magnetization = 0.0 Bohr magnetons per cell
1.0
-4.878 1.802 -4.936
-3.317 -2.338 5.901
-0.155 7.734 2.977
As Sm Sc
8 6 2
direct
0.000 0.236 0.117 As
0.500 0.764 0.117 As
0.500 0.236 0.883 As
0.993 0.244 0.632 As
0.000 0.764 0.883 As
0.507 0.756 0.632 As
0.493 0.244 0.368 As
0.007 0.756 0.368 As
0.250 0.500 0.876 Sm
0.750 0.000 0.373 Sm
0.250 0.500 0.373 Sm
0.250 0.000 0.627 Sm
0.750 0.500 0.627 Sm
0.750 0.500 0.124 Sm
0.750 0.000 0.876 Sc
0.250 0.000 0.124 Sc

GGA-PBE CsKH2, relaxed; calculated density = 2.99 g cm⁻³; E = -9.0 eV for the cell shown; total magnetization = 0.0 Bohr magnetons per cell
1.0
3.228 -3.622 1.734
1.824 0.265 4.811
-1.589 -3.382 3.548
Cs H K
1 2 1
direct
0.500 0.500 0.500 Cs
0.250 0.250 0.250 H
0.750 0.750 0.750 H
0.000 0.000 0.000 K

GGA-PBE V2Pd6Au, relaxed; formation energy from the elements = -177 kJ/mol of formula units; calculated density = 11.47 g cm⁻³; total magnetization = 0.8 Bohr magnetons per cell
1.0
3.863 0.000 0.000
1.932 4.416 -0.052
1.932 1.875 7.933
Au Pd V
1 6 2
direct
0.000 0.500 0.500 Au
0.671 0.717 0.941 Pd
0.669 0.050 0.612 Pd
0.331 0.950 0.388 Pd
0.329 0.283 0.059 Pd
0.998 0.176 0.829 Pd
0.002 0.824 0.171 Pd
0.323 0.616 0.737 V
0.677 0.384 0.263 V

GGA-PBE Tl5H4Se2, relaxed; calculated density = 8.07 g cm⁻³; E = -31.0 eV for the cell shown; total magnetization = 0.0 Bohr magnetons per cell
1.0
4.374 0.779 -0.653
1.826 5.659 3.765
1.056 6.101 14.760
Tl H Se
5 4 2
direct
0.955 0.089 0.156 Tl
0.045 0.911 0.844 Tl
0.485 0.036 0.366 Tl
0.515 0.964 0.634 Tl
0.500 0.000 0.000 Tl
0.880 0.235 0.991 H
0.164 0.670 0.826 H
0.836 0.330 0.174 H
0.120 0.765 0.009 H
0.706 0.584 0.345 Se
0.294 0.416 0.655 Se

GGA-PBE RbSr2CuF8, relaxed; calculated density = 3.79 g cm⁻³; energy relative to the elements, uncorrected = -2.843 eV per atom; total magnetization = 0.1 Bohr magnetons per cell
1.0
-2.270 -2.723 2.718
1.924 -4.308 -3.437
5.850 -1.332 5.459
F Sr Cu Rb
8 2 1 1
direct
0.513 0.277 0.487 F
0.694 0.781 0.985 F
0.487 0.723 0.513 F
0.799 0.118 0.187 F
0.306 0.219 0.015 F
0.912 0.339 0.784 F
0.201 0.882 0.813 F
0.088 0.661 0.216 F
0.567 0.517 0.247 Sr
0.433 0.483 0.753 Sr
0.000 0.000 0.000 Cu
0.000 0.000 0.500 Rb